Record 1
# CdCoBr2 PBEsol relaxed
data_CdCoBr2
_cell_length_a 3.559
_cell_length_b 3.559
_cell_length_c 9.086
_cell_angle_alpha 90.00
_cell_angle_beta 90.00
_cell_angle_gamma 123.46
_symmetry_space_group_name_H-M 'P 1'
_symmetry_Int_Tables_number 1
loop_
_symmetry_equiv_pos_as_xyz
'x,y,z'
loop_
_atom_site_label
_atom_site_fract_x
_atom_site_fract_y
_atom_site_fract_z
_atom_site_occupancy
Cd1 0.000 0.000 0.000 1
Co1 0.000 0.000 0.500 1
Br1 0.500 0.500 0.323 1
Br2 0.500 0.500 0.677 1
# formation energy (no corrections): 0.10 eV/atom
# offset from the most stable computed form: 0.137 eV per atom
# DFT total energy: -0.2252 Ry/atom
# V: 96.0 Å³/cell


Record 2
# BeSiOs2W PBEsol relaxed
data_BeSiOs2W
_cell_length_a 4.330
_cell_length_b 4.330
_cell_length_c 4.027
_cell_angle_alpha 90.00
_cell_angle_beta 90.00
_cell_angle_gamma 90.00
_symmetry_space_group_name_H-M 'P 1'
_symmetry_Int_Tables_number 1
loop_
_symmetry_equiv_pos_as_xyz
'x,y,z'
loop_
_atom_site_label
_atom_site_fract_x
_atom_site_fract_y
_atom_site_fract_z
_atom_site_occupancy
Be1 0.000 0.000 0.000 1
Si1 0.000 0.000 0.500 1
Os1 0.000 0.500 0.500 1
Os2 0.500 0.000 0.500 1
W1 0.500 0.500 0.000 1
# formation energy (no corrections): 1.35 eV/atom
# DFT total energy: -0.6065 Ry/atom
# V: 75.5 Å³/cell


DOS(E_F) values (in states/eV per cell) by entry order: 4.7; 4.4.